This record from Alexandria via LeMat-Bulk describes a relaxed KYSn crystal. The functional is PBE.

Geometry as POSCAR:
```
KYSn
1.0
7.6400 0.0000 0.0000
0.0000 5.0358 0.0000
0.0000 0.0000 10.2630
K Y Sn
4 4 4
Direct
0.1322 0.2500 0.0410
0.3678 0.7500 0.5410
0.6322 0.2500 0.4590
0.8678 0.7500 0.9590
0.0664 0.2500 0.6663
0.4336 0.7500 0.1663
0.5664 0.2500 0.8337
0.9336 0.7500 0.3337
0.1772 0.2500 0.3620
0.3228 0.7500 0.8620
0.6772 0.2500 0.1380
0.8228 0.7500 0.6380
```

Values from the calculation:
The formation energy is -0.1865 eV per atom. The density of states at the Fermi level is 0.009 states/eV/atom. As for the energy relative to the lowest polymorph listed for this composition: 209 meV per atom.